# GGA-PBEsol TcPt2Br, relaxed
# Uncorrected formation energy (meV/atom): 355
# Energy above the lowest structure with this stoichiometry (meV per atom): 55
# ρ (g/cm³): 14.5
# DOS at the Fermi energy (states/eV per cell): 2.77
data_TcPt2Br
_space_group_name_H-M_alt 'P 1'
_space_group_IT_number 1
_cell_length_a 2.872
_cell_length_b 2.872
_cell_length_c 7.866
_cell_angle_alpha 90.00
_cell_angle_beta 90.00
_cell_angle_gamma 90.00
loop_
_space_group_symop_operation_xyz
'x,y,z'
loop_
_atom_site_label
_atom_site_type_symbol
_atom_site_fract_x
_atom_site_fract_y
_atom_site_fract_z
Tc1 Tc 0.000 0.000 0.000
Pt1 Pt 0.000 0.000 0.542
Pt2 Pt 0.500 0.500 0.783
Br1 Br 0.500 0.500 0.218